# TbSm4Cu (PBE-GGA, optimized geometry)
# D(E_F), states/eV/atom: 1.31
# Uncorrected energy, eV for the cell shown: -27.8
# Magnetic moment, μB/cell: 0.00
# Space group: No. 123
# Calculated formation energy, eV per atom: -0.038
data_TbSm4Cu
_chemical_formula_sum 'Tb1 Sm4 Cu1'
_space_group_name_H-M_alt 'P 1'
_space_group_IT_number 1
_space_group_name_Hall 'P 1'
_cell_length_a 3.589
_cell_length_b 3.589
_cell_length_c 13.862
_cell_angle_alpha 90.00
_cell_angle_beta 90.00
_cell_angle_gamma 90.00
loop_
_atom_site_label
_atom_site_type_symbol
_atom_site_fract_x
_atom_site_fract_y
_atom_site_fract_z
Tb1 Tb 0.000 0.000 0.000
Sm1 Sm 0.500 0.500 0.183
Sm2 Sm 0.000 0.000 0.625
Sm3 Sm 0.000 0.000 0.375
Sm4 Sm 0.500 0.500 0.817
Cu1 Cu 0.500 0.500 0.500

---

# Tb3SmCu4 (PBE-GGA, optimized geometry)
# D(E_F), states/eV/atom: 0.64
# Uncorrected energy, eV for the cell shown: -73.5
# Magnetic moment, μB/cell: 0.00
# Space group: No. 123
# Calculated formation energy, eV per atom: -0.222
data_Tb3SmCu4
_chemical_formula_sum 'Tb6 Sm2 Cu8'
_space_group_name_H-M_alt 'P 1'
_space_group_IT_number 1
_space_group_name_Hall 'P 1'
_cell_length_a 4.956
_cell_length_b 6.981
_cell_length_c 9.913
_cell_angle_alpha 90.00
_cell_angle_beta 90.00
_cell_angle_gamma 90.00
loop_
_atom_site_label
_atom_site_type_symbol
_atom_site_fract_x
_atom_site_fract_y
_atom_site_fract_z
Tb1 Tb 0.000 0.000 0.000
Tb2 Tb 0.000 0.000 0.500
Tb3 Tb 0.500 0.000 0.750
Tb4 Tb 0.500 0.000 0.250
Tb5 Tb 0.500 0.500 0.750
Tb6 Tb 0.500 0.500 0.250
Cu1 Cu 0.500 0.754 0.000
Cu2 Cu 0.500 0.754 0.500
Cu3 Cu 0.500 0.246 0.000
Cu4 Cu 0.500 0.246 0.500
Cu5 Cu 0.000 0.755 0.750
Cu6 Cu 0.000 0.755 0.250
Cu7 Cu 0.000 0.245 0.250
Cu8 Cu 0.000 0.245 0.750
Sm1 Sm 0.000 0.500 0.000
Sm2 Sm 0.000 0.500 0.500

---

# TbSm2Cu9 (PBE-GGA, optimized geometry)
# D(E_F), states/eV/atom: 0.63
# Uncorrected energy, eV for the cell shown: -53.0
# Magnetic moment, μB/cell: 0.00
# Space group: No. 166
# Calculated formation energy, eV per atom: -0.168
data_TbSm2Cu9
_chemical_formula_sum 'Tb1 Sm2 Cu9'
_space_group_name_H-M_alt 'P 1'
_space_group_IT_number 1
_space_group_name_Hall 'P 1'
_cell_length_a 5.186
_cell_length_b 5.186
_cell_length_c 8.926
_cell_angle_alpha 73.11
_cell_angle_beta 73.11
_cell_angle_gamma 60.00
loop_
_atom_site_label
_atom_site_type_symbol
_atom_site_fract_x
_atom_site_fract_y
_atom_site_fract_z
Tb1 Tb 0.000 0.000 0.000
Sm1 Sm 0.859 0.859 0.424
Sm2 Sm 0.141 0.141 0.576
Cu1 Cu 0.668 0.668 0.996
Cu2 Cu 0.332 0.332 0.004
Cu3 Cu 0.500 0.500 0.500
Cu4 Cu 0.420 0.420 0.242
Cu5 Cu 0.917 0.420 0.242
Cu6 Cu 0.420 0.917 0.242
Cu7 Cu 0.580 0.580 0.758
Cu8 Cu 0.580 0.083 0.758
Cu9 Cu 0.083 0.580 0.758

---

# TbSm2Cu6 (PBE-GGA, optimized geometry)
# D(E_F), states/eV/atom: 0.41
# Uncorrected energy, eV for the cell shown: -40.8
# Magnetic moment, μB/cell: 0.00
# Space group: No. 191
# Calculated formation energy, eV per atom: -0.241
data_TbSm2Cu6
_chemical_formula_sum 'Tb1 Sm2 Cu6'
_space_group_name_H-M_alt 'P 1'
_space_group_IT_number 1
_space_group_name_Hall 'P 1'
_cell_length_a 3.649
_cell_length_b 7.370
_cell_length_c 7.370
_cell_angle_alpha 120.00
_cell_angle_beta 90.00
_cell_angle_gamma 90.00
loop_
_atom_site_label
_atom_site_type_symbol
_atom_site_fract_x
_atom_site_fract_y
_atom_site_fract_z
Tb1 Tb 0.000 0.000 0.000
Sm1 Sm 0.000 0.333 0.667
Sm2 Sm 0.000 0.667 0.333
Cu1 Cu 0.500 0.332 0.332
Cu2 Cu 0.500 0.668 0.668
Cu3 Cu 0.500 0.000 0.668
Cu4 Cu 0.500 0.668 0.000
Cu5 Cu 0.500 0.332 0.000
Cu6 Cu 0.500 0.000 0.332

---

# Tb5SmCu4 (PBE-GGA, optimized geometry)
# D(E_F), states/eV/atom: 0.66
# Uncorrected energy, eV for the cell shown: -46.1
# Magnetic moment, μB/cell: 0.00
# Space group: No. 123
# Calculated formation energy, eV per atom: -0.186
data_Tb5SmCu4
_chemical_formula_sum 'Tb5 Sm1 Cu4'
_space_group_name_H-M_alt 'P 1'
_space_group_IT_number 1
_space_group_name_Hall 'P 1'
_cell_length_a 3.490
_cell_length_b 3.490
_cell_length_c 19.224
_cell_angle_alpha 90.00
_cell_angle_beta 90.00
_cell_angle_gamma 90.00
loop_
_atom_site_label
_atom_site_type_symbol
_atom_site_fract_x
_atom_site_fract_y
_atom_site_fract_z
Tb1 Tb 0.500 0.500 0.138
Tb2 Tb 0.500 0.500 0.318
Tb3 Tb 0.500 0.500 0.500
Tb4 Tb 0.500 0.500 0.682
Tb5 Tb 0.500 0.500 0.862
Sm1 Sm 0.000 0.000 0.000
Cu1 Cu 0.000 0.000 0.228
Cu2 Cu 0.000 0.000 0.409
Cu3 Cu 0.000 0.000 0.591
Cu4 Cu 0.000 0.000 0.772

---

# TbSm2Cu2 (PBE-GGA, optimized geometry)
# D(E_F), states/eV/atom: 1.14
# Uncorrected energy, eV for the cell shown: -45.2
# Magnetic moment, μB/cell: 0.00
# Space group: No. 11
# Calculated formation energy, eV per atom: -0.070
data_TbSm2Cu2
_chemical_formula_sum 'Tb2 Sm4 Cu4'
_space_group_name_H-M_alt 'P 1'
_space_group_IT_number 1
_space_group_name_Hall 'P 1'
_cell_length_a 4.493
_cell_length_b 5.493
_cell_length_c 11.352
_cell_angle_alpha 111.69
_cell_angle_beta 90.00
_cell_angle_gamma 90.00
loop_
_atom_site_label
_atom_site_type_symbol
_atom_site_fract_x
_atom_site_fract_y
_atom_site_fract_z
Tb1 Tb 0.250 0.805 0.213
Tb2 Tb 0.750 0.195 0.787
Sm1 Sm 0.250 0.778 0.879
Sm2 Sm 0.750 0.222 0.121
Sm3 Sm 0.250 0.292 0.545
Sm4 Sm 0.750 0.708 0.455
Cu1 Cu 0.250 0.873 0.642
Cu2 Cu 0.750 0.127 0.358
Cu3 Cu 0.250 0.358 0.975
Cu4 Cu 0.750 0.642 0.025

---

# Tb3SmCu2 (PBE-GGA, optimized geometry)
# D(E_F), states/eV/atom: 1.30
# Uncorrected energy, eV for the cell shown: -53.2
# Magnetic moment, μB/cell: 0.00
# Space group: No. 72
# Calculated formation energy, eV per atom: 0.034
data_Tb3SmCu2
_chemical_formula_sum 'Tb6 Sm2 Cu4'
_space_group_name_H-M_alt 'P 1'
_space_group_IT_number 1
_space_group_name_Hall 'P 1'
_cell_length_a 6.857
_cell_length_b 7.217
_cell_length_c 8.392
_cell_angle_alpha 115.47
_cell_angle_beta 114.12
_cell_angle_gamma 90.00
loop_
_atom_site_label
_atom_site_type_symbol
_atom_site_fract_x
_atom_site_fract_y
_atom_site_fract_z
Tb1 Tb 0.500 0.250 0.000
Tb2 Tb 0.500 0.750 0.000
Tb3 Tb 0.764 0.014 0.529
Tb4 Tb 0.236 0.486 0.471
Tb5 Tb 0.236 0.986 0.471
Tb6 Tb 0.764 0.514 0.529
Sm1 Sm 0.000 0.500 0.000
Sm2 Sm 0.000 0.000 0.000
Cu1 Cu 0.564 0.358 0.715
Cu2 Cu 0.849 0.142 0.285
Cu3 Cu 0.151 0.858 0.715
Cu4 Cu 0.436 0.642 0.285

---

# TbSmCu (PBE-GGA, optimized geometry)
# D(E_F), states/eV/atom: 1.65
# Uncorrected energy, eV for the cell shown: -13.2
# Magnetic moment, μB/cell: 0.00
# Space group: No. 216
# Calculated formation energy, eV per atom: 0.089
data_TbSmCu
_chemical_formula_sum 'Tb1 Sm1 Cu1'
_space_group_name_H-M_alt 'P 1'
_space_group_IT_number 1
_space_group_name_Hall 'P 1'
_cell_length_a 4.902
_cell_length_b 4.902
_cell_length_c 4.902
_cell_angle_alpha 60.00
_cell_angle_beta 60.00
_cell_angle_gamma 60.00
loop_
_atom_site_label
_atom_site_type_symbol
_atom_site_fract_x
_atom_site_fract_y
_atom_site_fract_z
Tb1 Tb 0.000 0.000 0.000
Cu1 Cu 0.250 0.250 0.250
Sm1 Sm 0.500 0.500 0.500